# Eu3Dy

Eu3Dy after structural relaxation (GGA-PBE, Alexandria).

```
Eu3Dy
1.0
6.005 0.000 0.000
3.002 5.200 0.000
3.002 1.733 4.903
Dy Eu
1 3
Direct
0.500 0.500 0.500 Dy
0.000 0.000 0.000 Eu
0.750 0.750 0.750 Eu
0.250 0.250 0.250 Eu
```

## Properties
M_tot: 5.391 μB/atom
symmetry: Fm-3m
excess energy over the best structure of this formula in the dataset: 0.020 eV per atom
formation enthalpy at 0 K: 2.629 kcal/mol of atoms